No. 1
The following is a DFT calculation (GGA-PBE) of Sn2BiPb after structural relaxation.

Unit cell a=5.5105 b=5.5105 c=5.5105 alpha=60.00 beta=60.00 gamma=60.00
Positions (direct):
Pb1 0.0000 0.0000 0.0000
Bi1 0.5000 0.5000 0.5000
Sn1 0.2500 0.2500 0.2500
Sn2 0.7500 0.7500 0.7500

Values from the calculation:
- DOS at the Fermi energy: 0.499 states/eV per atom
- Space-group type: Fm-3m
- Energy above the most stable polymorph in this dataset: 8.0 kJ/mol of formula units
- V: 29.58 Å³ per atom
- Total moment: 0.000 μB per cell
- ΔE_f: 0.084 eV per atom

***

No. 2
The following is a DFT calculation (GGA-PBE) of Ca2CuIO6 after structural relaxation.

Unit cell a=5.5963 b=5.8382 c=7.6547 alpha=90.00 beta=89.40 gamma=90.00
Positions (direct):
Ca1 0.0112 0.9395 0.2518
Ca2 0.5112 0.5605 0.7518
Ca3 0.9888 0.0605 0.7482
Ca4 0.4888 0.4395 0.2482
Cu1 0.5000 0.0000 0.0000
Cu2 0.0000 0.5000 0.5000
I1 0.5000 0.0000 0.5000
I2 0.0000 0.5000 0.0000
O1 0.2866 0.6810 0.0451
O2 0.7866 0.8190 0.5451
O3 0.7134 0.3190 0.9549
O4 0.2134 0.1810 0.4549
O5 0.3238 0.7201 0.4461
O6 0.8238 0.7799 0.9461
O7 0.6762 0.2799 0.5539
O8 0.1762 0.2201 0.0539
O9 0.9001 0.5412 0.2457
O10 0.4001 0.9588 0.7457
O11 0.0999 0.4588 0.7543
O12 0.5999 0.0412 0.2543

Values from the calculation:
- DOS at the Fermi energy: 0.222 states/eV per atom
- Space-group type: P2_1/c
- V: 12.50 Å³ per atom
- Raw total energy: -5.454 eV per atom
- Total moment: 0.000 μB per cell